First-principles (PBE) data for a relaxed structure of TlFeAg2, as listed in Alexandria via LeMat-Bulk.

## Properties
Total moment (μB/f.u.): 2.718
Formation energy (eV per atom): 0.41
Total DFT energy (no corrections) (eV per atom): -3.722

Unit cell a=3.3567 b=4.5650 c=4.7736 alpha=90.00 beta=90.00 gamma=90.00
With the nearest neighbours (Å) after each atom.
Positions (direct):
Tl  0.0000  0.0000  0.0000  4 Fe 2.83, 4 Ag 2.92
Fe  0.5000  0.5000  0.0000  4 Tl 2.83, 4 Ag 2.92
Ag  0.0000  0.5000  0.5000  4 Ag 2.83, 4 Fe 2.92
Ag  0.5000  0.0000  0.5000  4 Ag 2.83, 4 Tl 2.92